1.
First-principles (PBE) data for a relaxed structure of Rb3TlNi2Cl8, as listed in Alexandria.

Unit cell a=7.5289 b=7.5289 c=9.4736 alpha=90.00 beta=90.00 gamma=120.00
With the nearest neighbours (Å) after each atom.
Element x y z (fractional)
Rb1 0.3333 0.6667 0.6177  1 Cl 3.19
Rb2 0.6667 0.3333 0.3823  1 Cl 3.19
Rb3 0.0000 0.0000 0.0000  6 Cl 3.69
Tl1 0.0000 0.0000 0.5000  6 Cl 3.02
Ni1 0.3333 0.6667 0.1856  4 Cl 2.19-2.27
Ni2 0.6667 0.3333 0.8144  4 Cl 2.19-2.27
Cl1 0.3333 0.6667 0.9547  1 Ni 2.19
Cl2 0.6667 0.3333 0.0453  1 Ni 2.19
Cl3 0.1806 0.8194 0.2998  1 Ni 2.27
Cl4 0.8194 0.1806 0.7002  1 Ni 2.27
Cl5 0.1806 0.3612 0.2998  1 Ni 2.27
Cl6 0.8194 0.6388 0.7002  1 Ni 2.27
Cl7 0.6388 0.8194 0.2998  1 Ni 2.27
Cl8 0.3612 0.1806 0.7002  1 Ni 2.27

Computed properties:
space-group type: P-3m1

***

2.
First-principles (PBE) data for a relaxed structure of RbTl2NiCl6, as listed in Alexandria.

Unit cell a=7.2490 b=8.2488 c=10.2986 alpha=90.00 beta=86.49 gamma=90.00
With the nearest neighbours (Å) after each atom.
Element x y z (fractional)
Rb1 0.5000 0.0000 0.0000  4 Cl 3.19-3.33
Rb2 0.0000 0.5000 0.5000  4 Cl 3.19-3.33
Tl1 0.0209 0.9603 0.2733  6 Cl 3.09-3.33
Tl2 0.5209 0.5397 0.7733  6 Cl 3.09-3.33
Tl3 0.9791 0.0397 0.7267  6 Cl 3.09-3.33
Tl4 0.4791 0.4603 0.2267  6 Cl 3.09-3.33
Ni1 0.5000 0.0000 0.5000  6 Cl 2.25-2.50
Ni2 0.0000 0.5000 0.0000  6 Cl 2.25-2.50
Cl1 0.2906 0.6601 0.0164  1 Ni 2.50
Cl2 0.7906 0.8399 0.5164  1 Ni 2.50
Cl3 0.7094 0.3399 0.9836  1 Ni 2.50
Cl4 0.2094 0.1601 0.4836  1 Ni 2.50
Cl5 0.3655 0.7834 0.4081  1 Ni 2.27
Cl6 0.8655 0.7166 0.9081  1 Ni 2.27
Cl7 0.6345 0.2166 0.5919  1 Ni 2.27
Cl8 0.1345 0.2834 0.0919  1 Ni 2.27
Cl9 0.8953 0.5891 0.1980  1 Ni 2.25
Cl10 0.3953 0.9109 0.6980  1 Ni 2.25
Cl11 0.1047 0.4109 0.8020  1 Ni 2.25
Cl12 0.6047 0.0891 0.3020  1 Ni 2.25

Computed properties:
space-group type: P2_1/c

***

3.
First-principles (PBE) data for a relaxed structure of Rb2TlNiCl6, as listed in Alexandria.

Unit cell a=7.3786 b=7.3762 c=10.4174 alpha=90.00 beta=90.00 gamma=90.00
With the nearest neighbours (Å) after each atom.
Element x y z (fractional)
Rb1 0.5000 0.7501 0.2501  12 Cl 3.69-3.70
Rb2 0.0000 0.2499 0.7501  12 Cl 3.69-3.70
Rb3 0.5000 0.7501 0.7499  12 Cl 3.69-3.70
Rb4 0.0000 0.2499 0.2499  12 Cl 3.69-3.70
Tl1 0.0000 0.7496 0.5000  6 Cl 2.85-2.87
Tl2 0.5000 0.2504 0.0000  6 Cl 2.85-2.87
Ni1 0.5000 0.2496 0.5000  6 Cl 2.35-2.36
Ni2 0.0000 0.7504 0.0000  6 Cl 2.35-2.36
Cl1 0.5000 0.2496 0.2738  1 Ni 2.36
Cl2 0.5000 0.2496 0.7262  1 Ni 2.36
Cl3 0.0000 0.7504 0.2262  1 Ni 2.36
Cl4 0.0000 0.7504 0.7738  1 Ni 2.36
Cl5 0.2747 0.0242 0.5000  1 Ni 2.35
Cl6 0.7253 0.0242 0.5000  1 Ni 2.35
Cl7 0.2746 0.4748 0.5000  1 Ni 2.35
Cl8 0.7254 0.4748 0.5000  1 Ni 2.35
Cl9 0.7746 0.5252 0.0000  1 Ni 2.35
Cl10 0.2254 0.5252 0.0000  1 Ni 2.35
Cl11 0.2253 0.9758 0.0000  1 Ni 2.35
Cl12 0.7747 0.9758 0.0000  1 Ni 2.35

Computed properties:
space-group type: Pmmn

***

4.
First-principles (PBE) data for a relaxed structure of RbTmNiCl6, as listed in Alexandria.

Unit cell a=6.5655 b=6.5656 c=7.4146 alpha=90.00 beta=90.00 gamma=59.99
With the nearest neighbours (Å) after each atom.
Element x y z (fractional)
Rb1 0.0000 0.0000 0.0000  6 Cl 3.33
Tm1 0.6666 0.6667 0.5000  6 Cl 2.61
Ni1 0.3333 0.3333 0.5000  6 Cl 2.44
Cl1 0.0206 0.3611 0.3064  1 Ni 2.44, 1 Tm 2.61
Cl2 0.3610 0.0207 0.6936  1 Ni 2.44, 1 Tm 2.61
Cl3 0.6183 0.3611 0.6936  1 Ni 2.44, 1 Tm 2.61
Cl4 0.0206 0.6183 0.6936  1 Ni 2.44, 1 Tm 2.61
Cl5 0.3610 0.6183 0.3064  1 Ni 2.44, 1 Tm 2.61
Cl6 0.6183 0.0206 0.3064  1 Ni 2.44, 1 Tm 2.61

Computed properties:
space-group type: P312

***

5.
First-principles (PBE) data for a relaxed structure of Rb2VNiCl6, as listed in Alexandria.

Unit cell a=7.3169 b=7.3169 c=6.8879 alpha=57.92 beta=57.92 gamma=90.00
With the nearest neighbours (Å) after each atom.
Element x y z (fractional)
Ni1 0.0000 0.0000 0.0000  2 Cl 2.20
Cl1 0.2423 0.2423 0.5155  1 Ni 2.20, 1 V 2.34
Cl2 0.7577 0.7577 0.4845  1 Ni 2.20, 1 V 2.34
Cl3 0.2625 0.2625 0.0000  1 V 2.46, 1 Ni 2.72
Cl4 0.7375 0.7375 0.0000  1 V 2.46, 1 Ni 2.72
Cl5 0.7375 0.2625 0.0000  1 V 2.46, 1 Ni 2.72
Cl6 0.2625 0.7375 0.0000  1 V 2.46, 1 Ni 2.72
Rb1 0.7500 0.2500 0.5000  12 Cl 3.45-3.66
Rb2 0.2500 0.7500 0.5000  12 Cl 3.45-3.66
V1 0.5000 0.5000 0.0000  6 Cl 2.34-2.46

Computed properties:
space-group type: I4/mmm

***

6.
First-principles (PBE) data for a relaxed structure of RbVNiCl2, as listed in Alexandria.

Unit cell a=5.0059 b=4.6562 c=5.0059 alpha=90.00 beta=90.00 gamma=90.00
With the nearest neighbours (Å) after each atom.
Element x y z (fractional)
Ni1 0.0000 0.5000 0.0000  2 V 2.33
Cl1 0.0000 0.0000 0.5000  2 V 2.50
Cl2 0.5000 0.0000 0.0000  2 V 2.50
Rb1 0.5000 0.5000 0.5000  8 Cl 3.42, 4 Ni 3.54
V1 0.0000 0.0000 0.0000  2 Ni 2.33, 4 Cl 2.50

Computed properties:
space-group type: P4/mmm

***

7.
First-principles (PBE) data for a relaxed structure of RbVNiCl6, as listed in Alexandria.

Unit cell a=6.2736 b=6.2734 c=7.4231 alpha=90.00 beta=90.00 gamma=60.00
With the nearest neighbours (Å) after each atom.
Element x y z (fractional)
Rb1 0.0000 0.0000 0.0000  6 Cl 3.31
V1 0.3333 0.3333 0.4999  6 Cl 2.40
Ni1 0.6667 0.6666 0.5000  6 Cl 2.41
Cl1 0.0011 0.3715 0.3170  1 V 2.40, 1 Ni 2.41
Cl2 0.3715 0.0012 0.6830  1 V 2.40, 1 Ni 2.41
Cl3 0.6273 0.3715 0.6830  1 V 2.40, 1 Ni 2.41
Cl4 0.0011 0.6274 0.6830  1 V 2.40, 1 Ni 2.41
Cl5 0.3715 0.6274 0.3170  1 V 2.40, 1 Ni 2.41
Cl6 0.6273 0.0011 0.3170  1 V 2.40, 1 Ni 2.41

Computed properties:
space-group type: P312

***

8.
First-principles (PBE) data for a relaxed structure of RbVNi2Cl8, as listed in Alexandria.

Unit cell a=6.1777 b=6.1777 c=10.2867 alpha=72.53 beta=72.53 gamma=60.00
With the nearest neighbours (Å) after each atom.
Element x y z (fractional)
Rb1 0.5000 0.5000 0.5000  12 Cl 3.62-4.04
V1 0.0000 0.0000 0.0000  6 Cl 2.36
Ni1 0.2632 0.2632 0.2104  4 Cl 2.18-2.25
Ni2 0.7368 0.7368 0.7896  4 Cl 2.18-2.25
Cl1 0.1878 0.1878 0.4367  1 Ni 2.18
Cl2 0.6442 0.2658 0.1430  1 Ni 2.25, 1 V 2.36
Cl3 0.8122 0.8122 0.5633  1 Ni 2.18
Cl4 0.9470 0.6442 0.1430  1 Ni 2.25, 1 V 2.36
Cl5 0.0530 0.3558 0.8570  1 Ni 2.25, 1 V 2.36
Cl6 0.2658 0.9470 0.1430  1 Ni 2.25, 1 V 2.36
Cl7 0.7342 0.0530 0.8570  1 Ni 2.25, 1 V 2.36
Cl8 0.3558 0.7342 0.8570  1 Ni 2.25, 1 V 2.36

Computed properties:
space-group type: R-3

***

| no. | raw formation energy (kJ/mol of formula units) |
| --- | --- |
| 1 | -1588 |
| 2 | -935 |
| 3 | -1160 |
| 4 | -1437 |
| 5 | -1217 |
| 6 | -196 |
| 7 | -1021 |
| 8 | -1113 |